No. 1
First-principles (GGA-PBE) data for a relaxed Ce12PaOs6 crystal, as listed in the Alexandria database.

The value obtained for the spin magnetization is 0.00 μB/f.u. As for the total energy: -7.76 eV/atom.

It has space group R-3m (No. 166, hexagonal axes), with a = 9.8523 Å, b = 9.8523 Å, c = 16.4669 Å, α = 90.00°, β = 90.00° and γ = 120.00°. The distinct sites, in fractional coordinates, are Ce at (0.0398, 0.5199, 0.4097), Ce at (0.0950, 0.5475, 0.0796), Pa at (0.0000, 0.0000, 0.0000) and Os at (0.0606, 0.5303, 0.7687).

No. 2
First-principles (GGA-PBE) data for a relaxed Ce2PaOs crystal, as listed in the Alexandria database.

Its excess energy over the best structure of this formula in the dataset is 0 meV per atom. The value obtained for the spin magnetization is 0.00 μB/f.u. As for the total energy: -8.17 eV/atom.

It has space group P4/mmm (No. 123), with a = 3.439 Å, b = 3.439 Å, c = 7.805 Å, α = 90.00°, β = 90.00° and γ = 90.00°. The distinct sites, in fractional coordinates, are Ce at (0.000, 0.000, 0.222), Pa at (0.500, 0.500, 0.500) and Os at (0.500, 0.500, 0.000).

No. 3
First-principles (GGA-PBE) data for a relaxed Ce2Pa2Os3 crystal, as listed in the Alexandria database.

The value obtained for the spin magnetization is 0.62 μB/f.u. As for the total energy: -9.41 eV/atom.

It has space group P-1 (No. 2), with a = 3.990 Å, b = 6.759 Å, c = 7.049 Å, α = 99.28°, β = 90.07° and γ = 107.15°. The distinct sites, in fractional coordinates, are Ce at (0.129, 0.256, 0.365), Pa at (0.369, 0.738, 0.101), Os at (0.000, 0.000, 0.000) and Os at (0.236, 0.472, 0.742).

No. 4
First-principles (GGA-PBE) data for a relaxed CePa2Os crystal, as listed in the Alexandria database.

Its excess energy over the best structure of this formula in the dataset is 137 meV per atom. The value obtained for the spin magnetization is 0.00 μB/f.u. As for the total energy: -8.98 eV/atom.

It has space group R-3m (No. 166, hexagonal axes), with a = 4.2472 Å, b = 4.2472 Å, c = 17.8548 Å, α = 90.00°, β = 90.00° and γ = 120.00°. The distinct sites, in fractional coordinates, are Ce at (0.0000, 0.0000, 0.0000), Pa at (0.0000, 0.0000, 0.2421) and Os at (0.0000, 0.0000, 0.5000).

No. 5
First-principles (GGA-PBE) data for a relaxed CePaOs crystal, as listed in the Alexandria database.

Its excess energy over the best structure of this formula in the dataset is 27 meV per atom. The value obtained for the spin magnetization is 0.00 μB/f.u. As for the total energy: -9.06 eV/atom.

It has space group I4mm (No. 107), with a = 3.588 Å, b = 3.588 Å, c = 10.196 Å, α = 90.00°, β = 90.00° and γ = 90.00°. The distinct sites, in fractional coordinates, are Ce at (0.000, 0.000, 0.000), Pa at (0.000, 0.000, 0.689) and Os at (0.000, 0.000, 0.323).

No. 6
First-principles (GGA-PBE) data for a relaxed Ce3PaOs8 crystal, as listed in the Alexandria database.

The value obtained for the spin magnetization is 0.00 μB/f.u. As for the total energy: -10.00 eV/atom.

It has space group R3m (No. 160, hexagonal axes), with a = 5.3897 Å, b = 5.3897 Å, c = 26.3798 Å, α = 90.00°, β = 90.00° and γ = 120.00°. The distinct sites, in fractional coordinates, are Ce at (0.0000, 0.0000, 0.0000), Ce at (0.0000, 0.0000, 0.1244), Ce at (0.0000, 0.0000, 0.6260), Pa at (0.0000, 0.0000, 0.5004), Os at (0.0000, 0.0000, 0.3128), Os at (0.0000, 0.0000, 0.8127), Os at (0.0009, 0.5004, 0.0634) and Os at (0.1672, 0.3343, 0.8955).